{
  "formula": "LiB6W2",
  "functional": "GGA-PBE",
  "state": "optimized geometry",
  "lattice": [[5.244, 0.000, 0.000], [-2.622, 4.541, 0.000], [0.000, 0.000, 3.234]],
  "species": ["Li", "B", "B", "B", "B", "B", "B", "W", "W"],
  "fractional_positions": [[0.000, 0.000, 0.000], [0.000, 0.330, 0.500], [0.000, 0.670, 0.500], [0.330, 0.000, 0.500], [0.330, 0.330, 0.500], [0.670, 0.000, 0.500], [0.670, 0.670, 0.500], [0.333, 0.667, 0.000], [0.667, 0.333, 0.000]],
  "total_magnetization_mub_per_cell": 0.000,
  "formation_energy_mev_per_atom": -293
}